The following is a PBE-GGA calculation of an optimized crystal structure of Pm3ZnPt2, from the Alexandria database.

Output
As for the total magnetic moment: 0.0 μB/cell. The density is 9916 kg/m3. The calculation puts the energy above the most stable polymorph in this dataset at 0.0 meV per atom. The value obtained for the total energy is -0.4015 Ry/atom. The value obtained for the volume is 149 Å³/f.u.

```
data_Pm3ZnPt2
_chemical_formula_sum 'Pm12 Zn4 Pt8'
_cell_length_a 12.196
_cell_length_b 4.059
_cell_length_c 12.049
_cell_angle_alpha 90.00
_cell_angle_beta 90.00
_cell_angle_gamma 90.00
_symmetry_space_group_name_H-M 'P n m a'
_symmetry_Int_Tables_number 62
loop_
_symmetry_equiv_pos_as_xyz
'x,y,z'
'-x,-y,-z'
'-x+1/2,-y,z+1/2'
'x+1/2,y,-z+1/2'
'x+1/2,-y+1/2,-z+1/2'
'-x+1/2,y+1/2,z+1/2'
'-x,y+1/2,-z'
'x,-y+1/2,z'
loop_
_atom_site_label
_atom_site_fract_x
_atom_site_fract_y
_atom_site_fract_z
Pm1 0.052 0.250 0.127
Pm2 0.132 0.750 0.573
Pm3 0.207 0.250 0.821
Zn1 0.120 0.250 0.378
Pt1 0.004 0.750 0.309
Pt2 0.185 0.750 0.994
```